Computed, not measured: a crystal of ScHS2 relaxed with PBEsol at the meta-GGA SCAN level of DFT.

Cell: 6.142 6.142 6.142 Å, 90.00 90.00 90.00°
Sites, in units of the cell vectors:
Sc  0.000  0.000  0.000
Sc  0.000  0.500  0.500
Sc  0.500  0.000  0.500
Sc  0.500  0.500  0.000
H  0.000  0.000  0.500
H  0.000  0.500  0.000
H  0.500  0.000  0.000
H  0.500  0.500  0.500
S  0.250  0.250  0.250
S  0.250  0.250  0.750
S  0.250  0.750  0.250
S  0.250  0.750  0.750
S  0.750  0.250  0.250
S  0.750  0.250  0.750
S  0.750  0.750  0.250
S  0.750  0.750  0.750

Calculated values
The energy above the most stable polymorph in this dataset is 0.884 eV/atom. The calculation puts the density at 3.2 g/cm³. The value obtained for the calculated volume is 14.48 Å³ per atom. The value obtained for the density of states at the Fermi level is 2.37 states/eV/f.u. The total magnetization is 2.996 μB per cell.



Computed, not measured: a crystal of SrCd3Ni relaxed with PBEsol at the meta-GGA SCAN level of DFT.

Cell: 4.943 4.943 4.943 Å, 90.00 90.00 90.00°
Sites, in units of the cell vectors:
Sr  0.000  0.000  0.000
Cd  0.000  0.500  0.500
Cd  0.500  0.000  0.500
Cd  0.500  0.500  0.000
Ni  0.500  0.500  0.500

Calculated values
The calculation puts the energy of formation from the pure elements at -0.158 eV per atom. The calculation puts the density at 6.6 g/cm³. The value obtained for the calculated volume is 24.16 Å³ per atom. The value obtained for the density of states at the Fermi level is 2.15 states/eV/f.u. The total magnetization is 0.000 μB per cell.



Computed, not measured: a crystal of BePtO2 relaxed with PBEsol at the meta-GGA SCAN level of DFT.

Cell: 2.679 2.679 17.330 Å, 90.00 90.00 120.00°
Sites, in units of the cell vectors:
Be  0.000  0.000  0.000
Be  0.333  0.667  0.667
Be  0.667  0.333  0.333
Pt  0.000  0.000  0.500
Pt  0.333  0.667  0.167
Pt  0.667  0.333  0.833
O  0.000  0.000  0.388
O  0.000  0.000  0.612
O  0.333  0.667  0.055
O  0.333  0.667  0.279
O  0.667  0.333  0.721
O  0.667  0.333  0.945

Calculated values
The calculation puts the density at 10.9 g/cm³. The value obtained for the calculated volume is 8.98 Å³ per atom. As for the uncorrected formation energy: -1.46 eV/atom. The value obtained for the density of states at the Fermi level is 1.86 states/eV/f.u. The total magnetization is 0.000 μB per cell.



Computed, not measured: a crystal of SnPd3Pt relaxed with PBEsol at the meta-GGA SCAN level of DFT.

Cell: 4.756 4.756 4.756 Å, 90.00 90.00 90.00°
Sites, in units of the cell vectors:
Sn  0.000  0.000  0.000
Pd  0.000  0.000  0.500
Pd  0.000  0.500  0.000
Pd  0.500  0.000  0.000
Pt  0.500  0.500  0.500

Calculated values
The calculation puts the energy of formation from the pure elements at 1.057 eV per atom. The calculation puts the density at 9.8 g/cm³. The value obtained for the calculated volume is 21.51 Å³ per atom. The value obtained for the density of states at the Fermi level is 3.94 states/eV/f.u. The total magnetization is 0.000 μB per cell.



Computed, not measured: a crystal of LaIr2Se relaxed with PBEsol at the meta-GGA SCAN level of DFT.

Cell: 4.018 4.018 9.278 Å, 90.00 90.00 90.00°
Sites, in units of the cell vectors:
La  0.000  0.000  0.000
La  0.500  0.500  0.500
Ir  0.000  0.500  0.250
Ir  0.000  0.500  0.750
Ir  0.500  0.000  0.250
Ir  0.500  0.000  0.750
Se  0.000  0.000  0.500
Se  0.500  0.500  0.000

Calculated values
The energy above the most stable polymorph in this dataset is 0.414 eV/atom. The calculation puts the density at 13.4 g/cm³. The value obtained for the calculated volume is 18.72 Å³ per atom. As for the uncorrected formation energy: -0.09 eV/atom. The value obtained for the density of states at the Fermi level is 4.18 states/eV/f.u. The total magnetization is 0.000 μB per cell.



Computed, not measured: a crystal of ReSiSe relaxed with PBEsol at the meta-GGA SCAN level of DFT.

Cell: 4.272 4.272 2.896 Å, 90.00 90.00 120.00°
Sites, in units of the cell vectors:
Re  0.000  0.000  0.000
Si  0.667  0.333  0.498
Se  0.333  0.667  0.000

Calculated values
The energy above the most stable polymorph in this dataset is 0.268 eV/atom. The calculation puts the density at 10.6 g/cm³. The value obtained for the calculated volume is 15.25 Å³ per atom. As for the uncorrected formation energy: 0.66 eV/atom. The value obtained for the density of states at the Fermi level is 1.91 states/eV/f.u. The total magnetization is 0.000 μB per cell.



Please write out number 3 again, unchanged.
Computed, not measured: a crystal of BePtO2 relaxed with PBEsol at the meta-GGA SCAN level of DFT.

Cell: 2.679 2.679 17.330 Å, 90.00 90.00 120.00°
Sites, in units of the cell vectors:
Be  0.000  0.000  0.000
Be  0.333  0.667  0.667
Be  0.667  0.333  0.333
Pt  0.000  0.000  0.500
Pt  0.333  0.667  0.167
Pt  0.667  0.333  0.833
O  0.000  0.000  0.388
O  0.000  0.000  0.612
O  0.333  0.667  0.055
O  0.333  0.667  0.279
O  0.667  0.333  0.721
O  0.667  0.333  0.945

Calculated values
The calculation puts the density at 10.9 g/cm³. The value obtained for the calculated volume is 8.98 Å³ per atom. As for the uncorrected formation energy: -1.46 eV/atom. The value obtained for the density of states at the Fermi level is 1.86 states/eV/f.u. The total magnetization is 0.000 μB per cell.